A relaxed NaSrCa2Co crystal. Source: the Alexandria database, functional PBE.

Summary:
D(E_F) in states/eV per atom: 1.0871
Formation energy from the elements in eV per atom: 0.172
Size of the total moment in μB/f.u.: 0.10
Symmetry: P4/mmm (123)
V in Å³/atom: 35.56

abc: 5.5367 5.5367 5.8008
angles: 90.00 90.00 90.00
Closest atoms and distances in Å follow each position.
Fractional positions:
1 Ca 0.0000 0.5000 0.0000  2 Co 2.77
2 Sr 0.0000 0.0000 0.5000  2 Co 2.90
3 Ca 0.5000 0.0000 0.0000  2 Co 2.77
4 Co 0.0000 0.0000 0.0000  4 Ca 2.77, 2 Sr 2.90
5 Na 0.5000 0.5000 0.5000  4 Sr 3.92, 8 Ca 4.01

=====

A relaxed GeTe2PtI crystal. Source: the Alexandria database, functional PBE.

Summary:
Excess energy over the best structure of this formula in the dataset in eV per formula unit: 0.00
D(E_F) in states/eV per atom: 0.7348
Size of the total moment in μB/f.u.: 0.00
Symmetry: P4/mmm (123)
V in Å³/atom: 30.86
Energy relative to the elements, uncorrected in eV/atom: 0.4150

abc: 5.3078 5.3078 5.4766
angles: 90.00 90.00 90.00
Closest atoms and distances in Å follow each position.
Fractional positions:
1 Te 0.0000 0.5000 0.0000  2 Pt 2.65
2 Pt 0.0000 0.0000 0.0000  4 Te 2.65, 2 I 2.74
3 Ge 0.5000 0.5000 0.5000  4 I 3.75, 8 Te 3.81
4 I 0.0000 0.0000 0.5000  2 Pt 2.74
5 Te 0.5000 0.0000 0.0000  2 Pt 2.65

=====

A relaxed ZrZnAs crystal. Source: the Alexandria database, functional PBE.

Summary:
D(E_F) in states/eV per atom: 0.7174
Formation energy from the elements in eV per atom: -0.311
Size of the total moment in μB/f.u.: 0.00
Symmetry: P3m1 (156)
V in Å³/atom: 18.26

abc: 4.2337 4.2337 3.5284
angles: 90.00 90.00 120.00
Closest atoms and distances in Å follow each position.
Fractional positions:
1 As 0.0000 0.0000 0.1538  3 Zn 2.45
2 Zr 0.3333 0.6667 0.6647  6 Zn 2.98-3.05, 6 As 2.99-3.04
3 Zn 0.6667 0.3333 0.1815  3 As 2.45

=====

A relaxed Zn4Au crystal. Source: the Alexandria database, functional PBE.

Summary:
Excess energy over the best structure of this formula in the dataset in eV per formula unit: 0.38
D(E_F) in states/eV per atom: 0.2657
Formation energy from the elements in eV per atom: -0.020
Size of the total moment in μB/f.u.: 0.00
Symmetry: P2/m (10)
V in Å³/atom: 17.15

abc: 5.5419 7.2315 5.4006
angles: 80.14 59.13 67.47
Closest atoms and distances in Å follow each position.
Fractional positions:
1 Au 0.7500 0.0000 0.0000  6 Zn 2.71-2.72, 2 Au 2.77
2 Zn 0.2639 0.3201 0.6520  9 Zn 2.65-2.82, 1 Au 2.72
3 Zn 0.2361 0.6799 0.3480  9 Zn 2.65-2.82, 1 Au 2.72
4 Zn 0.7487 0.6671 0.8356  9 Zn 2.65-2.81, 2 Au 2.71
5 Zn 0.7639 0.3201 0.6520  9 Zn 2.65-2.82, 1 Au 2.72
6 Zn 0.7361 0.6799 0.3480  9 Zn 2.65-2.82, 1 Au 2.72
7 Zn 0.2486 0.6672 0.8356  9 Zn 2.65-2.81, 2 Au 2.71
8 Zn 0.2513 0.3329 0.1644  9 Zn 2.65-2.81, 2 Au 2.71
9 Zn 0.7514 0.3328 0.1644  9 Zn 2.65-2.81, 2 Au 2.71
10 Au 0.2500 0.0000 0.0000  6 Zn 2.71-2.72, 2 Au 2.77

=====

A relaxed Na2YBeRu crystal. Source: the Alexandria database, functional PBE.

Summary:
D(E_F) in states/eV per atom: 0.9547
Formation energy from the elements in eV per atom: 1.108
Size of the total moment in μB/f.u.: 1.03
Symmetry: P4/mmm (123)
V in Å³/atom: 24.01

abc: 4.6792 4.6792 5.4828
angles: 90.00 90.00 90.00
Closest atoms and distances in Å follow each position.
Fractional positions:
1 Be 0.0000 0.0000 0.0000  4 Na 2.34
2 Na 0.5000 0.0000 0.0000  2 Be 2.34
3 Na 0.0000 0.5000 0.0000  2 Be 2.34
4 Ru 0.5000 0.5000 0.5000  4 Y 3.31, 8 Na 3.60
5 Y 0.0000 0.0000 0.5000  2 Be 2.74

=====

A relaxed AlWAu2 crystal. Source: the Alexandria database, functional PBE.

Summary:
D(E_F) in states/eV per atom: 0.5508
Formation energy from the elements in eV per atom: 0.110
Size of the total moment in μB/f.u.: 0.00
Symmetry: P4/mmm (123)
V in Å³/atom: 16.41

abc: 2.8845 2.8845 7.8911
angles: 90.00 90.00 90.00
Closest atoms and distances in Å follow each position.
Fractional positions:
1 Al 0.5000 0.5000 0.7500  8 Au 2.77, 4 Al 2.88
2 Au 0.0000 0.0000 0.9870  4 Al 2.77, 4 Au 2.88, 4 W 2.91
3 W 0.5000 0.5000 0.2500  4 W 2.88, 8 Au 2.91
4 Au 0.0000 0.0000 0.5130  4 Al 2.77, 4 Au 2.88, 4 W 2.91

=====

A relaxed TaAgP2 crystal. Source: the Alexandria database, functional PBE.

Summary:
Excess energy over the best structure of this formula in the dataset in eV per formula unit: 0.68
D(E_F) in states/eV per atom: 0.0066
Formation energy from the elements in eV per atom: 0.027
Size of the total moment in μB/f.u.: 0.00
Symmetry: I-42d (122)
V in Å³/atom: 23.00

abc: 5.7742 5.7742 6.8653
angles: 65.13 65.13 90.00
Closest atoms and distances in Å follow each position.
Fractional positions:
1 Ag 0.5000 0.5000 0.0000  4 P 2.54
2 P 0.3750 0.3542 0.7500  2 Ta 2.40, 2 Ag 2.54
3 Ta 0.7500 0.2500 0.5000  4 P 2.40
4 P 0.8750 0.8958 0.7500  2 Ta 2.40, 2 Ag 2.54
5 Ag 0.2500 0.7500 0.5000  4 P 2.54
6 P 0.1042 0.6250 0.2500  2 Ta 2.40, 2 Ag 2.54
7 Ta 0.0000 0.0000 0.0000  4 P 2.40
8 P 0.6458 0.1250 0.2500  2 Ta 2.40, 2 Ag 2.54

=====

A relaxed CdCoSn2I crystal. Source: the Alexandria database, functional PBE.

Summary:
D(E_F) in states/eV per atom: 0.2941
Size of the total moment in μB/f.u.: 0.00
Symmetry: P4/mmm (123)
V in Å³/atom: 25.95
Energy relative to the elements, uncorrected in eV/atom: -0.0420

abc: 4.9469 4.9469 5.3030
angles: 90.00 90.00 90.00
Closest atoms and distances in Å follow each position.
Fractional positions:
1 I 0.5000 0.5000 0.5000  4 Cd 3.50, 8 Sn 3.63
2 Co 0.0000 0.0000 0.0000  4 Sn 2.47, 2 Cd 2.65
3 Sn 0.5000 0.0000 0.0000  2 Co 2.47
4 Sn 0.0000 0.5000 0.0000  2 Co 2.47
5 Cd 0.0000 0.0000 0.5000  2 Co 2.65

=====

A relaxed Pr3HoCu4 crystal. Source: the Alexandria database, functional PBE.

Summary:
D(E_F) in states/eV per atom: 0.8302
Formation energy from the elements in eV per atom: -0.155
Size of the total moment in μB/f.u.: 0.00
Symmetry: P4/mmm (123)
V in Å³/atom: 22.87

abc: 3.5651 3.5651 14.3954
angles: 90.00 90.00 90.00
Closest atoms and distances in Å follow each position.
Fractional positions:
1 Cu 0.0000 0.0000 0.1104  4 Ho 2.98, 4 Pr 3.18, 1 Cu 3.18
2 Pr 0.5000 0.5000 0.5000  8 Cu 3.12
3 Cu 0.0000 0.0000 0.8896  4 Ho 2.98, 4 Pr 3.18, 1 Cu 3.18
4 Cu 0.0000 0.0000 0.6271  8 Pr 3.12
5 Cu 0.0000 0.0000 0.3729  8 Pr 3.12
6 Pr 0.5000 0.5000 0.7554  8 Cu 3.12-3.18
7 Pr 0.5000 0.5000 0.2446  8 Cu 3.12-3.18
8 Ho 0.5000 0.5000 0.0000  8 Cu 2.98

=====

A relaxed Tb3Y2Er4 crystal. Source: the Alexandria database, functional PBE.

Summary:
Excess energy over the best structure of this formula in the dataset in eV per formula unit: 0.00
D(E_F) in states/eV per atom: 1.3018
Formation energy from the elements in eV per atom: 0.020
Size of the total moment in μB/f.u.: 0.00
Symmetry: C2/m (12)
V in Å³/atom: 31.37

abc: 5.0018 7.9114 14.6165
angles: 144.44 90.00 108.43
Closest atoms and distances in Å follow each position.
Fractional positions:
1 Er 0.3319 0.6638 0.9993  5 Er 3.51-3.54, 5 Tb 3.53-3.55, 2 Y 3.54-3.55
2 Er 0.8900 0.7800 0.6676  5 Er 3.51-3.55, 4 Tb 3.52-3.55, 3 Y 3.53-3.55
3 Y 0.2238 0.4476 0.6677  5 Er 3.53-3.55, 6 Tb 3.54-3.56, 1 Y 3.56
4 Tb 0.4452 0.8904 0.3330  6 Er 3.52-3.53, 2 Tb 3.54-3.57, 4 Y 3.55-3.56
5 Tb 0.5548 0.1096 0.6670  6 Er 3.52-3.53, 2 Tb 3.54-3.57, 4 Y 3.55-3.56
6 Tb 0.0000 0.0000 0.0000  4 Y 3.54, 2 Tb 3.54, 6 Er 3.55
7 Y 0.7762 0.5524 0.3323  5 Er 3.53-3.55, 6 Tb 3.54-3.56, 1 Y 3.56
8 Er 0.6681 0.3362 0.0007  5 Er 3.51-3.54, 5 Tb 3.53-3.55, 2 Y 3.54-3.55
9 Er 0.1100 0.2200 0.3324  5 Er 3.51-3.55, 4 Tb 3.52-3.55, 3 Y 3.53-3.55